Record 1
A plane-wave DFT calculation with PBE was carried out for an optimized crystal structure of AgAs2PdO8.

Results
ΔE_f (raw) (meV per atom): -610
Energy (eV per formula unit): -64.326
Total magnetic moment (μB per formula unit): 1.05
Symmetry: P-3

Unit cell a=4.949 b=4.949 c=7.442 alpha=90.00 beta=90.00 gamma=120.00
Fractional positions:
O (0.680, 0.684, 0.667)
O (0.004, 0.320, 0.667)
O (0.316, 0.996, 0.667)
O (0.684, 0.004, 0.333)
O (0.996, 0.680, 0.333)
O (0.333, 0.667, 0.963)
As (0.333, 0.667, 0.732)
O (0.320, 0.316, 0.333)
Ag (0.000, 0.000, 0.000)
As (0.667, 0.333, 0.268)
Pd (0.000, 0.000, 0.500)
O (0.667, 0.333, 0.037)

=====

Record 2
A plane-wave DFT calculation with PBE was carried out for an optimized crystal structure of AgAsPdO5.

Results
ΔE_f (raw) (meV per atom): -605
Energy (eV per formula unit): -42.326
Total magnetic moment (μB per formula unit): 0.04
Symmetry: C2/c

Unit cell a=5.676 b=5.676 c=7.365 alpha=104.83 beta=104.83 gamma=105.01
Fractional positions:
Ag (0.330, 0.670, 0.250)
O (0.619, 0.748, 0.922)
O (0.252, 0.381, 0.578)
O (0.323, 0.913, 0.628)
O (0.088, 0.912, 0.250)
O (0.381, 0.252, 0.078)
O (0.913, 0.323, 0.128)
O (0.912, 0.088, 0.750)
Ag (0.670, 0.330, 0.750)
As (0.686, 0.314, 0.250)
O (0.677, 0.087, 0.372)
Pd (0.000, 0.000, 0.000)
O (0.087, 0.677, 0.872)
O (0.748, 0.619, 0.422)
As (0.314, 0.686, 0.750)
Pd (0.000, 0.000, 0.500)